Here is CuPbAu2 after structural relaxation from Alexandria via LeMat-Bulk. Energies are from PBE-GGA.

```
CuPbAu2
1.0
4.385 0.000 0.000
0.000 3.392 -0.004
0.000 1.670 5.399
Au Cu Pb
2 1 1
direct
0.000 0.097 0.031
0.000 0.403 0.469
0.500 0.250 0.250
0.500 0.750 0.750
```

Results
Magnetic moment   0.000 μB/atom
Total DFT energy (no corrections)   -3.500 eV per atom
V   80.3 Å³/cell

Here is La2MgHPd after structural relaxation from Alexandria via LeMat-Bulk. Energies are from PBE-GGA.

```
La2MgHPd
1.0
-0.041 3.997 3.976
-4.106 -2.044 2.012
3.228 -3.243 3.294
H Mg Pd La
1 1 1 2
direct
0.500 0.500 0.500
0.000 0.500 0.000
0.000 0.000 0.000
0.000 0.000 0.500
0.500 0.000 0.000
```

Results
Magnetic moment   0.000 μB/atom
Energy relative to the lowest polymorph listed for this composition   2.51 eV/f.u.
Total DFT energy (no corrections)   -3.881 eV per atom
V   159.2 Å³/cell

Here is TaFeAg2 after structural relaxation from Alexandria via LeMat-Bulk. Energies are from PBE-GGA.

```
TaFeAg2
1.0
-3.867 -1.989 -2.758
-1.761 -3.904 -2.858
-2.153 -2.540 3.296
Ag Fe Ta
2 1 1
direct
0.994 0.994 0.005
0.506 0.506 0.495
0.250 0.250 0.250
0.750 0.750 0.750
```

Results
Magnetic moment   0.453 μB/atom
Energy relative to the lowest polymorph listed for this composition   0.59 eV/f.u.
Total DFT energy (no corrections)   -6.139 eV per atom
V   64.9 Å³/cell

Here is Ba2SiNiAu after structural relaxation from Alexandria via LeMat-Bulk. Energies are from PBE-GGA.

```
Ba2SiNiAu
1.0
-5.053 -3.232 -0.424
3.145 -5.040 0.929
-0.617 0.403 4.276
Ni Si Au Ba
1 1 1 2
direct
0.000 0.000 0.000
0.000 0.000 0.500
0.500 0.500 0.500
0.000 0.500 0.000
0.500 0.000 0.000
```

Results
Energy relative to the elements, uncorrected   -0.36 eV per atom
Magnetic moment   0.000 μB/atom
Total DFT energy (no corrections)   -4.023 eV per atom
V   156.9 Å³/cell

Here is Sr2MgTlP after structural relaxation from Alexandria via LeMat-Bulk. Energies are from PBE-GGA.

```
Sr2MgTlP
1.0
5.908 0.000 0.000
0.000 5.908 0.000
0.000 0.000 4.868
Sr Tl Mg P
2 1 1 1
direct
0.000 0.500 0.000
0.500 0.000 0.000
0.500 0.500 0.500
0.000 0.000 0.500
0.000 0.000 0.000
```

Results
Magnetic moment   0.000 μB/atom
Total DFT energy (no corrections)   -3.036 eV per atom
V   169.9 Å³/cell

Here is CsLaCd2Br8 after structural relaxation from Alexandria via LeMat-Bulk. Energies are from PBE-GGA.

```
CsLaCd2Br8
1.0
7.009 0.856 0.830
0.919 7.155 1.050
1.104 1.404 10.066
Cs La Cd Br
1 1 2 8
direct
0.000 0.000 0.500
0.000 0.000 0.000
0.461 0.447 0.712
0.539 0.553 0.288
0.161 0.699 0.238
0.707 0.762 0.037
0.747 0.215 0.204
0.839 0.301 0.762
0.293 0.238 0.963
0.253 0.785 0.796
0.602 0.721 0.469
0.398 0.279 0.531
```

Results
Energy relative to the elements, uncorrected   -1.35 eV per atom
Magnetic moment   0.000 μB/atom
Total DFT energy (no corrections)   -3.100 eV per atom
V   482.1 Å³/cell